No. 1
Material: Nb2OsPb
Method: DFT, PBE
State: relaxed

Output
- DFT formation energy: 0.575 eV per atom
- Space group: No. 122
- V: 21.000 A^3/atom

Lattice parameters (Å, degrees): 6.114 6.114 6.114 103.00 103.00 123.38
Sites, in units of the cell vectors:
1 Nb 0.071 0.625 0.946
2 Nb 0.375 0.321 0.446
3 Nb 0.679 0.125 0.054
4 Nb 0.875 0.929 0.554
5 Os 0.000 0.000 0.000
6 Os 0.750 0.250 0.500
7 Pb 0.250 0.750 0.500
8 Pb 0.500 0.500 0.000

---

No. 2
Material: Nb3OsPb
Method: DFT, PBE
State: relaxed

Output
- DFT formation energy: 0.858 eV per atom
- Space group: No. 221
- ΔE to the lowest computed polymorph: 0 meV per atom
- V: 23.546 A^3/atom

Lattice parameters (Å, degrees): 4.901 4.901 4.901 90.00 90.00 90.00
Sites, in units of the cell vectors:
1 Nb 0.000 0.000 0.500
2 Nb 0.000 0.500 0.000
3 Nb 0.500 0.000 0.000
4 Os 0.000 0.000 0.000
5 Pb 0.500 0.500 0.500

---

No. 3
Material: SrNb2OsPb
Method: DFT, PBE
State: relaxed

Output
- DFT formation energy: 2.984 eV per atom
- Space group: No. 123
- V: 25.794 A^3/atom

Lattice parameters (Å, degrees): 4.873 4.873 5.431 90.00 90.00 90.00
Sites, in units of the cell vectors:
1 Sr 0.000 0.000 0.000
2 Nb 0.000 0.500 0.000
3 Nb 0.500 0.000 0.000
4 Os 0.500 0.500 0.500
5 Pb 0.000 0.000 0.500